# 1
Material: DyGaPd
Method: DFT, PBE
State: relaxed

## Properties
Its space group is No. 123. As for the energy of formation: -0.07 eV/atom.

```
3
Lattice="4.024 0.000 0.000 0.000 4.024 0.000 0.000 0.000 4.716" Properties=species:S:1:pos:R:3 pbc="T T T"
Dy 0.000 0.000 0.000
Ga 2.012 2.012 0.000
Pd 2.012 2.012 2.358
```

# 2
Material: HfNbTe3
Method: DFT, PBE
State: relaxed

## Properties
Its space group is No. 221. Its energy above the most stable polymorph in this dataset is 0.8945 eV per atom. For the uncorrected formation energy, the calculation gives 542 meV/atom.

```
5
Lattice="5.496 0.000 0.000 0.000 5.496 0.000 0.000 0.000 5.496" Properties=species:S:1:pos:R:3 pbc="T T T"
Hf 0.000 0.000 0.000
Nb 2.748 2.748 2.748
Te 0.000 0.000 2.748
Te 0.000 2.748 0.000
Te 2.748 0.000 0.000
```

# 3
Material: GaTcB2
Method: DFT, PBE
State: relaxed

## Properties
Its space group is No. 122. As for the energy of formation: 0.70 eV/atom.

```
8
Lattice="-2.520 2.520 4.474 2.520 -2.520 4.474 2.520 2.520 -4.474" Properties=species:S:1:pos:R:3 pbc="T T T"
Ga 0.000 0.000 0.000
Ga 0.000 2.520 2.237
Tc 2.520 0.000 2.237
Tc 0.000 0.000 4.474
B 1.260 -1.124 3.355
B 1.396 1.260 1.118
B 1.260 3.644 -1.118
B 1.124 1.260 5.592
```

# 4
Material: DyMg2
Method: DFT, PBE
State: relaxed

## Properties
Its space group is No. 191. As for the energy of formation: -0.07 eV/atom.

```
3
Lattice="5.224 0.000 0.000 -2.612 4.524 0.000 0.000 0.000 3.301" Properties=species:S:1:pos:R:3 pbc="T T T"
Dy 0.000 0.000 0.000
Mg 0.000 3.016 1.651
Mg 2.612 1.508 1.651
```

Number 1: calculated total energy -4.344 eV per atom, V 25.46 A^3/atom. Number 2: calculated total energy -5.348 eV per atom, V 33.20 A^3/atom. Number 3: calculated total energy -5.990 eV per atom, V 14.21 A^3/atom. Number 4: calculated total energy -2.669 eV per atom, V 26.00 A^3/atom.